A plane-wave DFT calculation with PBE-GGA was carried out for crystalline Sm2HfGe3Ir4 at its relaxed geometry.

**Energy of formation**: -833 meV/atom
**Magnetic moment**: 0.0 μB/f.u.
**VASP energy**: -77.02 eV/cell
**Fermi-level density of states**: 0.50 states/eV/atom
**Calculated volume**: 191.0 Å³ per cell

Lattice parameters (Å, degrees): 4.171 4.171 10.981 90.00 90.00 90.00
Atoms (fractional coordinates):
Ir  0.500  0.000  0.648
Ir  0.000  0.500  0.352
Ir  0.500  0.500  0.000
Ir  0.000  0.000  0.000
Ge  0.000  0.000  0.500
Ge  0.500  0.000  0.874
Ge  0.000  0.500  0.126
Sm  0.500  0.000  0.233
Sm  0.000  0.500  0.767
Hf  0.500  0.500  0.500